{"formula": "Nd4BBrCl4", "functional": "PBE", "state": "relaxed", "vol_a3_per_atom": 29.5, "density_g_cm3": 4.55, "magmom_total_mub_per_fu": 0.0, "e_tot_ev_per_cell": -50.91, "lattice": [[-1.0792, 2.1188, 8.8800], [-3.6435, -0.9389, 8.3876], [6.4969, -5.4295, -0.1188]], "species": ["Nd", "Nd", "Cl", "Cl", "Cl", "Cl", "Nd", "B", "Br", "Nd"], "frac_coords": [[0.0009, 0.0009, 0.7868], [0.9991, 0.9991, 0.2132], [0.8348, 0.8348, 0.6710], [0.8300, 0.8300, 0.1425], [0.1652, 0.1652, 0.3290], [0.1700, 0.1700, 0.8575], [0.6495, 0.6495, 0.0883], [0.5000, 0.5000, 0.0000], [0.5000, 0.5000, 0.5000], [0.3505, 0.3505, 0.9117]]}